*w*
First-principles (PBE) data for crystalline Tm3AlO6 at its relaxed geometry, as listed in Alexandria.

Structure (CIF):
```
data_Tm3AlO6
_chemical_formula_sum 'Tm6 Al2 O12'
_space_group_name_H-M_alt 'P 1'
_space_group_IT_number 1
_cell_length_a 6.3504
_cell_length_b 6.3504
_cell_length_c 6.3504
_cell_angle_alpha 92.40
_cell_angle_beta 92.40
_cell_angle_gamma 92.40
loop_
_space_group_symop_operation_xyz
'x,y,z'
loop_
_atom_site_label
_atom_site_type_symbol
_atom_site_fract_x
_atom_site_fract_y
_atom_site_fract_z
Tm1 Tm 0.0649 0.7551 0.5710
Tm2 Tm 0.2449 0.4290 0.9351
Tm3 Tm 0.4290 0.9351 0.2449
Tm4 Tm 0.5710 0.0649 0.7551
Tm5 Tm 0.7551 0.5710 0.0649
Tm6 Tm 0.9351 0.2449 0.4290
Al1 Al 0.0000 0.0000 0.0000
Al2 Al 0.5000 0.5000 0.5000
O1 O 0.0433 0.7067 0.9161
O2 O 0.0839 0.9567 0.2933
O3 O 0.2047 0.4311 0.5731
O4 O 0.2933 0.0839 0.9567
O5 O 0.4269 0.7953 0.5689
O6 O 0.4311 0.5731 0.2047
O7 O 0.5689 0.4269 0.7953
O8 O 0.5731 0.2047 0.4311
O9 O 0.7067 0.9161 0.0433
O10 O 0.7953 0.5689 0.4269
O11 O 0.9161 0.0433 0.7067
O12 O 0.9567 0.2933 0.0839
```

*x*
First-principles (PBE) data for crystalline Tm3AlO6 at its relaxed geometry, as listed in Alexandria.

Structure (CIF):
```
data_Tm3AlO6
_chemical_formula_sum 'Tm6 Al2 O12'
_space_group_name_H-M_alt 'P 1'
_space_group_IT_number 1
_cell_length_a 6.9988
_cell_length_b 6.9988
_cell_length_c 5.3169
_cell_angle_alpha 90.00
_cell_angle_beta 90.00
_cell_angle_gamma 102.79
loop_
_space_group_symop_operation_xyz
'x,y,z'
loop_
_atom_site_label
_atom_site_type_symbol
_atom_site_fract_x
_atom_site_fract_y
_atom_site_fract_z
Tm1 Tm 0.1022 0.8978 0.5000
Tm2 Tm 0.2014 0.4129 0.4529
Tm3 Tm 0.4129 0.2014 0.9529
Tm4 Tm 0.5871 0.7986 0.4529
Tm5 Tm 0.7986 0.5871 0.9529
Tm6 Tm 0.8978 0.1022 0.0000
Al1 Al 0.3053 0.6947 0.9183
Al2 Al 0.6947 0.3053 0.4183
O1 O 0.0816 0.6082 0.7501
O2 O 0.1439 0.1772 0.7254
O3 O 0.1772 0.1439 0.2254
O4 O 0.2858 0.7142 0.2504
O5 O 0.3918 0.9184 0.7501
O6 O 0.4568 0.5432 0.7892
O7 O 0.5432 0.4568 0.2892
O8 O 0.6082 0.0816 0.2501
O9 O 0.7142 0.2858 0.7504
O10 O 0.8228 0.8561 0.7254
O11 O 0.8561 0.8228 0.2254
O12 O 0.9184 0.3918 0.2501
```

Most stable structure among those shown: *x*. Next: +0.010 eV/atom.